Entry from Alexandria via LeMat-Bulk: a geometry-optimized K2MnAuF6 structure (GGA+U).

Values from the calculation:
Magnetization in Bohr magnetons per cell: 16.00
D(E_F) in states/eV per cell: 10.1
Calculated total energy in eV/atom: -4.6149

a = 8.7363 Å, b = 8.7363 Å, c = 8.7363 Å
α = 90.00°, β = 90.00°, γ = 90.00°
Last column: nearest neighbours and their distance in Å.
Space group Fm-3m (No. 225)
Unique sites:
K  0.2500  0.2500  0.2500 x8  12 F 3.09
Mn  0.0000  0.0000  0.0000 x4  6 F 2.03
Au  0.0000  0.0000  0.5000 x4  6 F 2.33
F  0.0000  0.0000  0.2328 x24  1 Mn 2.03